Entry 1:
GGA-PBE Ac6Si2S3I, optimized geometry; VASP energy = -5.4910 eV/atom; raw formation energy = -1371.9 meV/atom
1.0
-0.914 3.957 1.879
-3.082 -4.214 7.377
9.849 -0.831 1.212
Ac S I Si
6 3 1 2
direct
0.003 0.282 0.006
0.668 0.581 0.336
0.332 0.419 0.664
0.997 0.718 0.994
0.322 0.902 0.643
0.678 0.098 0.357
0.162 0.837 0.324
0.500 0.500 0.000
0.838 0.163 0.676
0.500 0.000 0.000
0.835 0.671 0.670
0.165 0.329 0.330

Entry 2:
GGA-PBE AcSbI, optimized geometry; offset from the most stable computed form = 0.316 eV/atom; VASP energy = -3.9889 eV/atom; raw formation energy = -728.6 meV/atom
1.0
-0.710 2.361 -3.083
-5.140 -2.237 -0.529
0.783 4.513 3.275
Sb Ac I
1 1 1
direct
0.666 0.667 0.333
0.166 0.000 0.000
0.168 0.333 0.667

Entry 3:
GGA-PBE Ac3Sb2I, optimized geometry; VASP energy = -4.4770 eV/atom; raw formation energy = -790.3 meV/atom
1.0
5.715 0.000 0.000
-2.858 7.081 0.000
0.000 0.000 11.947
Ac Sb I
6 4 2
direct
0.902 0.804 0.250
0.628 0.255 0.026
0.628 0.255 0.474
0.372 0.745 0.974
0.372 0.745 0.526
0.098 0.196 0.750
0.503 0.006 0.250
0.000 0.000 0.000
0.000 0.000 0.500
0.497 0.994 0.750
0.232 0.465 0.250
0.768 0.535 0.750

Entry 4:
GGA-PBE AcSbI, optimized geometry; offset from the most stable computed form = 0.287 eV/atom; VASP energy = -4.0174 eV/atom; raw formation energy = -757.1 meV/atom
1.0
-3.291 1.641 4.258
1.101 -1.736 5.237
1.949 3.642 3.820
Ac Sb I
1 1 1
direct
0.250 0.250 0.250
0.000 0.000 0.000
0.500 0.500 0.500

Entry 5:
GGA-PBE Ac5Sb4I, optimized geometry; VASP energy = -5.0524 eV/atom; raw formation energy = -1194.3 meV/atom
1.0
-2.708 -1.811 -3.526
-1.989 -4.996 4.095
-6.901 10.085 3.384
Sb Ac I
4 5 1
direct
0.402 0.402 0.804
0.598 0.598 0.196
0.798 0.798 0.597
0.202 0.202 0.403
0.391 0.891 0.782
0.801 0.301 0.602
0.199 0.699 0.398
0.609 0.109 0.218
0.000 0.500 0.000
0.000 0.000 0.000

Entry 6:
GGA-PBE AcSbI, optimized geometry; offset from the most stable computed form = 0.234 eV/atom; VASP energy = -4.0705 eV/atom; raw formation energy = -810.2 meV/atom
1.0
-2.048 -3.678 1.236
-0.891 -0.915 -4.197
6.175 -0.458 1.082
I Ac Sb
1 1 1
direct
0.006 0.006 0.013
0.678 0.678 0.356
0.316 0.316 0.632

Number 1: total moment 0.0 μB/f.u.. Number 2: total moment 0.0 μB/f.u.. Number 3: total moment 0.0 μB/f.u.. Number 4: total moment 0.6 μB/f.u.. Number 5: total moment 0.0 μB/f.u.. Number 6: total moment 0.0 μB/f.u..